[1]
Ca6Au7: optimized geometry, GGA-PBE.

Calculated values
DFT total energy	-3.22	eV per atom
energy relative to the elements	-0.53	eV/atom

Lattice parameters (Å, degrees): 10.753 10.753 10.753 32.51 32.51 32.51
Sites, in units of the cell vectors:
Ca (0.059, 0.059, 0.059)
Ca (0.941, 0.941, 0.941)
Ca (0.168, 0.168, 0.168)
Ca (0.832, 0.832, 0.832)
Ca (0.330, 0.330, 0.330)
Ca (0.670, 0.670, 0.670)
Au (0.581, 0.095, 0.581)
Au (0.581, 0.581, 0.095)
Au (0.095, 0.581, 0.581)
Au (0.419, 0.905, 0.419)
Au (0.905, 0.419, 0.419)
Au (0.419, 0.419, 0.905)
Au (0.500, 0.500, 0.500)

***

[2]
CaAu5: optimized geometry, GGA-PBE.

Calculated values
DFT total energy	-3.43	eV per atom
energy relative to the elements	-0.36	eV/atom

Lattice parameters (Å, degrees): 4.919 4.919 5.761 84.74 84.74 58.97
Sites, in units of the cell vectors:
Au (0.046, 0.046, 0.855)
Au (0.694, 0.694, 0.611)
Au (0.343, 0.343, 0.367)
Au (0.375, 0.375, 0.855)
Au (0.014, 0.014, 0.367)
Ca (0.694, 0.694, 0.111)

***

[3]
Ca5Au2: optimized geometry, GGA-PBE.

Calculated values
DFT total energy	-2.92	eV per atom
energy relative to the elements	-0.55	eV/atom

Lattice parameters (Å, degrees): 9.080 9.080 7.811 82.88 82.88 44.44
Sites, in units of the cell vectors:
Au (0.183, 0.596, 0.081)
Au (0.404, 0.817, 0.419)
Au (0.817, 0.404, 0.919)
Au (0.596, 0.183, 0.581)
Ca (0.580, 0.420, 0.250)
Ca (0.420, 0.580, 0.750)
Ca (0.018, 0.800, 0.421)
Ca (0.200, 0.982, 0.079)
Ca (0.982, 0.200, 0.579)
Ca (0.800, 0.018, 0.921)
Ca (0.362, 0.201, 0.316)
Ca (0.799, 0.638, 0.184)
Ca (0.638, 0.799, 0.684)
Ca (0.201, 0.362, 0.816)

***

[4]
Ca3Au: optimized geometry, GGA-PBE.

Calculated values
DFT total energy	-2.67	eV per atom
energy relative to the elements	-0.35	eV/atom

Lattice parameters (Å, degrees): 3.992 3.992 10.301 90.00 90.00 120.00
Sites, in units of the cell vectors:
Ca (0.000, 0.000, 0.500)
Ca (0.667, 0.333, 0.187)
Ca (0.667, 0.333, 0.813)
Au (0.000, 0.000, 0.000)

***

[5]
Ca3Au: optimized geometry, GGA-PBE.

Calculated values
DFT total energy	-2.71	eV per atom
energy relative to the elements	-0.39	eV/atom

Lattice parameters (Å, degrees): 6.528 6.528 6.528 144.79 119.23 72.22
Sites, in units of the cell vectors:
Ca (0.617, 0.500, 0.117)
Ca (0.945, 0.312, 0.633)
Ca (0.321, 0.688, 0.633)
Au (0.951, 0.000, 0.951)

***

[6]
Ca3Au4: optimized geometry, GGA-PBE.

Calculated values
DFT total energy	-3.35	eV per atom
energy relative to the elements	-0.62	eV/atom

Lattice parameters (Å, degrees): 11.362 11.362 11.362 160.00 160.00 28.43
Sites, in units of the cell vectors:
Ca (0.000, 0.000, 0.000)
Ca (0.695, 0.695, 0.000)
Ca (0.305, 0.305, 0.000)
Au (0.854, 0.854, 0.000)
Au (0.146, 0.146, 0.000)
Au (0.564, 0.564, 0.000)
Au (0.436, 0.436, 0.000)

***

[7]
CaAu4: optimized geometry, GGA-PBE.

Calculated values
DFT total energy	-3.42	eV per atom
energy relative to the elements	-0.40	eV/atom

Lattice parameters (Å, degrees): 8.320 8.320 8.320 109.47 109.47 109.47
Sites, in units of the cell vectors:
Ca (0.578, 0.000, 0.000)
Ca (0.000, 0.578, 0.000)
Ca (0.422, 0.422, 0.422)
Ca (0.000, 0.000, 0.578)
Au (0.219, 0.000, 0.000)
Au (0.000, 0.219, 0.000)
Au (0.781, 0.781, 0.781)
Au (0.000, 0.000, 0.219)
Au (0.350, 0.000, 0.350)
Au (0.650, 0.000, 0.650)
Au (0.000, 0.650, 0.650)
Au (0.000, 0.350, 0.350)
Au (0.350, 0.350, 0.000)
Au (0.650, 0.650, 0.000)
Au (0.250, 0.500, 0.750)
Au (0.750, 0.500, 0.250)
Au (0.500, 0.250, 0.750)
Au (0.500, 0.750, 0.250)
Au (0.750, 0.250, 0.500)
Au (0.250, 0.750, 0.500)

***

[8]
Ca2Au: optimized geometry, GGA-PBE.

Calculated values
DFT total energy	-2.94	eV per atom
energy relative to the elements	-0.51	eV/atom

Lattice parameters (Å, degrees): 14.133 14.133 14.133 165.15 165.15 21.06
Sites, in units of the cell vectors:
Ca (0.563, 0.563, 0.000)
Ca (0.187, 0.687, 0.500)
Ca (0.437, 0.437, 0.000)
Ca (0.313, 0.813, 0.500)
Au (0.000, 0.000, 0.000)
Au (0.750, 0.250, 0.500)

***

[9]
Ca5Au: optimized geometry, GGA-PBE.

Calculated values
DFT total energy	-1.98	eV per atom
energy relative to the elements	0.24	eV/atom

Lattice parameters (Å, degrees): 6.889 6.889 6.889 60.00 60.00 60.00
Sites, in units of the cell vectors:
Ca (0.250, 0.250, 0.250)
Ca (0.625, 0.625, 0.625)
Ca (0.625, 0.625, 0.125)
Ca (0.125, 0.625, 0.625)
Ca (0.625, 0.125, 0.625)
Au (0.000, 0.000, 0.000)

***

[10]
Ca2Au: optimized geometry, GGA-PBE.

Calculated values
DFT total energy	-2.98	eV per atom
energy relative to the elements	-0.55	eV/atom

Lattice parameters (Å, degrees): 4.222 6.852 7.165 90.00 90.00 90.00
Sites, in units of the cell vectors:
Au (0.000, 0.000, 0.000)
Au (0.500, 0.500, 0.500)
Ca (0.000, 0.250, 0.663)
Ca (0.000, 0.750, 0.337)
Ca (0.500, 0.750, 0.837)
Ca (0.500, 0.250, 0.163)

***

[11]
Ca3Au: optimized geometry, GGA-PBE.

Calculated values
DFT total energy	-2.44	eV per atom
energy relative to the elements	-0.12	eV/atom

Lattice parameters (Å, degrees): 6.430 6.430 6.430 116.55 116.55 116.55
Sites, in units of the cell vectors:
Ca (0.500, 0.000, 0.500)
Ca (0.500, 0.500, 0.000)
Ca (0.000, 0.500, 0.500)
Au (0.000, 0.000, 0.000)

***

[12]
Ca6Au5: optimized geometry, GGA-PBE.

Calculated values
DFT total energy	-3.31	eV per atom
energy relative to the elements	-0.73	eV/atom

Lattice parameters (Å, degrees): 5.139 7.281 8.910 114.12 106.76 90.00
Sites, in units of the cell vectors:
Ca (0.500, 0.746, 0.000)
Ca (0.500, 0.254, 0.000)
Ca (0.832, 0.084, 0.665)
Ca (0.832, 0.580, 0.665)
Ca (0.168, 0.916, 0.335)
Ca (0.168, 0.420, 0.335)
Au (0.000, 0.500, 0.000)
Au (0.668, 0.668, 0.336)
Au (0.332, 0.332, 0.664)
Au (0.337, 0.837, 0.674)
Au (0.663, 0.163, 0.326)

***

[13]
Ca5Au: optimized geometry, GGA-PBE.

Calculated values
DFT total energy	-2.32	eV per atom
energy relative to the elements	-0.11	eV/atom

Lattice parameters (Å, degrees): 6.436 6.436 5.683 90.00 90.00 120.00
Sites, in units of the cell vectors:
Ca (0.693, 0.000, 0.000)
Ca (0.307, 0.307, 0.000)
Ca (0.000, 0.693, 0.000)
Ca (0.667, 0.333, 0.500)
Ca (0.333, 0.667, 0.500)
Au (0.000, 0.000, 0.500)

***

[14]
CaAu6: optimized geometry, GGA-PBE.

Calculated values
DFT total energy	-2.85	eV per atom
energy relative to the elements	0.25	eV/atom

Lattice parameters (Å, degrees): 6.452 6.452 6.452 109.47 109.47 109.47
Sites, in units of the cell vectors:
Ca (0.000, 0.000, 0.000)
Au (0.250, 0.750, 0.500)
Au (0.500, 0.750, 0.250)
Au (0.250, 0.500, 0.750)
Au (0.750, 0.250, 0.500)
Au (0.500, 0.250, 0.750)
Au (0.750, 0.500, 0.250)

***

[15]
Ca2Au: optimized geometry, GGA-PBE.

Calculated values
DFT total energy	-2.93	eV per atom
energy relative to the elements	-0.50	eV/atom

Lattice parameters (Å, degrees): 9.353 9.353 5.270 90.00 90.00 156.91
Sites, in units of the cell vectors:
Ca (0.932, 0.068, 0.750)
Ca (0.201, 0.799, 0.750)
Ca (0.799, 0.201, 0.250)
Ca (0.068, 0.932, 0.250)
Au (0.570, 0.430, 0.750)
Au (0.430, 0.570, 0.250)

***

[16]
CaAu6: optimized geometry, GGA-PBE.

Calculated values
DFT total energy	-2.59	eV per atom
energy relative to the elements	0.51	eV/atom

Lattice parameters (Å, degrees): 6.455 6.455 6.455 90.00 90.00 90.00
Sites, in units of the cell vectors:
Ca (0.000, 0.000, 0.000)
Au (0.196, 0.500, 0.500)
Au (0.500, 0.500, 0.804)
Au (0.500, 0.500, 0.196)
Au (0.500, 0.196, 0.500)
Au (0.500, 0.804, 0.500)
Au (0.804, 0.500, 0.500)

***

[17]
Ca3Au: optimized geometry, GGA-PBE.

Calculated values
DFT total energy	-2.61	eV per atom
energy relative to the elements	-0.29	eV/atom

Lattice parameters (Å, degrees): 3.862 3.812 9.849 90.00 90.00 90.00
Sites, in units of the cell vectors:
Ca (0.000, 0.500, 0.465)
Ca (0.500, 0.500, 0.121)
Ca (0.500, 0.000, 0.758)
Au (0.000, 0.000, 0.989)

***

[18]
Ca3Au5: optimized geometry, GGA-PBE.

Calculated values
DFT total energy	-3.40	eV per atom
energy relative to the elements	-0.60	eV/atom

Lattice parameters (Å, degrees): 9.020 9.020 5.358 90.00 90.00 120.00
Sites, in units of the cell vectors:
Ca (0.625, 0.000, 0.250)
Ca (0.375, 0.000, 0.750)
Ca (0.000, 0.625, 0.250)
Ca (0.375, 0.375, 0.250)
Ca (0.625, 0.625, 0.750)
Ca (0.000, 0.375, 0.750)
Au (0.333, 0.667, 0.000)
Au (0.667, 0.333, 0.500)
Au (0.667, 0.333, 0.000)
Au (0.333, 0.667, 0.500)
Au (0.195, 0.000, 0.250)
Au (0.805, 0.000, 0.750)
Au (0.000, 0.195, 0.250)
Au (0.805, 0.805, 0.250)
Au (0.195, 0.195, 0.750)
Au (0.000, 0.805, 0.750)

***

[19]
Ca3Au: optimized geometry, GGA-PBE.

Calculated values
DFT total energy	-2.81	eV per atom
energy relative to the elements	-0.49	eV/atom

Lattice parameters (Å, degrees): 6.782 7.849 9.901 90.00 90.00 90.00
Sites, in units of the cell vectors:
Au (0.050, 0.378, 0.750)
Au (0.550, 0.122, 0.250)
Au (0.950, 0.622, 0.250)
Au (0.450, 0.878, 0.750)
Ca (0.859, 0.035, 0.750)
Ca (0.359, 0.465, 0.250)
Ca (0.141, 0.965, 0.250)
Ca (0.641, 0.535, 0.750)
Ca (0.339, 0.175, 0.937)
Ca (0.839, 0.325, 0.063)
Ca (0.661, 0.825, 0.437)
Ca (0.161, 0.675, 0.563)
Ca (0.661, 0.825, 0.063)
Ca (0.161, 0.675, 0.937)
Ca (0.339, 0.175, 0.563)
Ca (0.839, 0.325, 0.437)

***

[20]
Ca5Au: optimized geometry, GGA-PBE.

Calculated values
DFT total energy	-2.38	eV per atom
energy relative to the elements	-0.17	eV/atom

Lattice parameters (Å, degrees): 5.806 4.321 8.494 104.74 90.00 90.00
Sites, in units of the cell vectors:
Ca (0.500, 0.833, 0.666)
Ca (0.000, 0.637, 0.274)
Ca (0.500, 0.500, 0.000)
Ca (0.000, 0.363, 0.726)
Ca (0.500, 0.167, 0.334)
Au (0.000, 0.000, 0.000)

***

[21]
Ca2Au: optimized geometry, GGA-PBE.

Calculated values
DFT total energy	-2.99	eV per atom
energy relative to the elements	-0.56	eV/atom

Lattice parameters (Å, degrees): 9.999 9.999 9.999 60.00 60.00 60.00
Sites, in units of the cell vectors:
Au (0.725, 0.725, 0.824)
Au (0.725, 0.725, 0.225)
Au (0.725, 0.324, 0.225)
Au (0.324, 0.725, 0.225)
Au (0.275, 0.275, 0.176)
Au (0.275, 0.275, 0.775)
Au (0.275, 0.676, 0.775)
Au (0.676, 0.275, 0.775)
Ca (0.000, 0.500, 0.000)
Ca (0.500, 0.000, 0.000)
Ca (0.500, 0.500, 0.000)
Ca (0.500, 0.500, 0.500)
Ca (0.932, 0.932, 0.818)
Ca (0.932, 0.318, 0.818)
Ca (0.318, 0.932, 0.818)
Ca (0.932, 0.318, 0.432)
Ca (0.318, 0.932, 0.432)
Ca (0.318, 0.318, 0.432)
Ca (0.068, 0.068, 0.182)
Ca (0.068, 0.682, 0.182)
Ca (0.682, 0.068, 0.182)
Ca (0.068, 0.682, 0.568)
Ca (0.682, 0.068, 0.568)
Ca (0.682, 0.682, 0.568)

***

[22]
Ca3Au: optimized geometry, GGA-PBE.

Calculated values
DFT total energy	-2.69	eV per atom
energy relative to the elements	-0.37	eV/atom

Lattice parameters (Å, degrees): 7.049 7.049 7.049 148.81 133.08 57.42
Sites, in units of the cell vectors:
Ca (0.311, 0.311, 0.000)
Ca (0.689, 0.689, 0.000)
Ca (0.000, 0.500, 0.500)
Au (0.500, 0.000, 0.500)